# 1
DFT (meta-GGA SCAN) results for TaGaTeW2 at its PBEsol-relaxed geometry.

Calculated density in g cm⁻³: 10.22
DFT total energy in eV per atom: -49.777
Total magnetic moment in μB per formula unit: 3.320
ΔE_f (raw) in eV/atom: 2.13

abc: 4.8379 4.8379 5.1794
angles: 90.00 90.00 90.00
Last column: magnetic moment on the atom in μB.
Fractional positions:
Te 0.0000 0.0000 0.5000  0.01
Ga 0.5000 0.5000 0.5000  0.08
W 0.0000 0.5000 0.0000  1.23
W 0.5000 0.0000 0.0000  1.23
Ta 0.0000 0.0000 0.0000  -0.09

# 2
DFT (meta-GGA SCAN) results for Cd5Ag3 at its PBEsol-relaxed geometry.

Calculated density in g cm⁻³: 9.70
DFT formation energy in eV per atom: -0.023
DFT total energy in eV per atom: -30.795
Total magnetic moment in μB per formula unit: 0.000

abc: 5.3402 7.9943 7.9943
angles: 83.59 70.49 70.49
Fractional positions:
Ag 0.6713 0.5000 0.1575
Ag 0.7500 0.0000 0.0000
Ag 0.1713 0.1575 0.5000
Ag 0.8287 0.8425 0.5000
Ag 0.2500 0.0000 0.0000
Ag 0.3287 0.5000 0.8425
Cd 0.2277 0.8468 0.6978
Cd 0.9255 0.3022 0.8468
Cd 0.2500 0.5000 0.5000
Cd 0.4255 0.8468 0.3022
Cd 0.7277 0.6978 0.8468
Cd 0.2723 0.3022 0.1532
Cd 0.5745 0.1532 0.6978
Cd 0.7500 0.5000 0.5000
Cd 0.0745 0.6978 0.1532
Cd 0.7723 0.1532 0.3022

# 3
DFT (meta-GGA SCAN) results for CaTiCr3 at its PBEsol-relaxed geometry.

Calculated density in g cm⁻³: 4.18
DFT formation energy in eV per atom: 1.798
DFT total energy in eV per atom: -14.372
Total magnetic moment in μB per formula unit: 9.942

abc: 4.5916 4.5916 4.5916
angles: 90.00 90.00 90.00
Last column: magnetic moment on the atom in μB.
Fractional positions:
Cr 0.0000 0.5000 0.0000  3.61
Cr 0.0000 0.0000 0.5000  3.61
Cr 0.5000 0.0000 0.0000  3.61
Ca 0.0000 0.0000 0.0000  0.32
Ti 0.5000 0.5000 0.5000  -1.42

# 4
DFT (meta-GGA SCAN) results for In2AuSe at its PBEsol-relaxed geometry.

Calculated density in g cm⁻³: 9.12
DFT total energy in eV per atom: -39.330
Total magnetic moment in μB per formula unit: 0.000
ΔE_f (raw) in eV/atom: -0.33

abc: 3.9755 3.9755 5.8240
angles: 90.00 90.00 90.00
Fractional positions:
Au 0.5000 0.5000 0.5000
Se 0.0000 0.0000 0.0000
In 0.0000 0.0000 0.5000
In 0.5000 0.5000 0.0000

# 5
DFT (meta-GGA SCAN) results for Re2As at its PBEsol-relaxed geometry.

Calculated density in g cm⁻³: 16.93
DFT formation energy in eV per atom: 0.011
DFT total energy in eV per atom: -54.117
Total magnetic moment in μB per formula unit: 0.000

abc: 2.9906 5.4398 5.7338
angles: 101.50 90.00 105.95
Fractional positions:
Re 0.9633 0.9267 0.7056
Re 0.3142 0.6285 0.3600
Re 0.0367 0.0733 0.2944
Re 0.6858 0.3715 0.6400
As 0.6458 0.2916 0.0548
As 0.3542 0.7084 0.9452

# 6
DFT (meta-GGA SCAN) results for AsRh7 at its PBEsol-relaxed geometry.

Calculated density in g cm⁻³: 12.17
DFT formation energy in eV per atom: -0.113
DFT total energy in eV per atom: -32.187
Total magnetic moment in μB per formula unit: 0.000

abc: 5.3544 5.3544 5.3544
angles: 60.00 60.00 60.00
Fractional positions:
As 0.0000 0.0000 0.0000
Rh 0.0000 0.0000 0.5000
Rh 0.0000 0.5000 0.0000
Rh 0.5000 0.0000 0.0000
Rh 0.5000 0.5000 0.0000
Rh 0.5000 0.0000 0.5000
Rh 0.0000 0.5000 0.5000
Rh 0.5000 0.5000 0.5000

# 7
DFT (meta-GGA SCAN) results for YAg2Sb at its PBEsol-relaxed geometry.

Calculated density in g cm⁻³: 8.32
DFT total energy in eV per atom: -32.371
Total magnetic moment in μB per formula unit: 0.000
ΔE_f (raw) in eV/atom: -0.41

abc: 4.3266 4.3266 5.4787
angles: 113.26 113.26 90.00
Fractional positions:
Ag 0.7500 0.2500 0.5000
Ag 0.2500 0.7500 0.5000
Sb 0.5000 0.5000 0.0000
Y 0.0000 0.0000 0.0000

# 8
DFT (meta-GGA SCAN) results for La3C2I3 at its PBEsol-relaxed geometry.

Calculated density in g cm⁻³: 5.95
DFT total energy in eV per atom: -33.672
Total magnetic moment in μB per formula unit: 0.000
ΔE_f (raw) in eV/atom: -1.20

abc: 10.6071 10.6071 17.5570
angles: 90.00 90.00 111.77
Fractional positions:
La 0.1552 0.8952 0.9991
La 0.7398 0.7699 0.3989
La 0.6143 0.3246 0.9805
La 0.6279 0.3721 0.7500
La 0.5504 0.0110 0.6045
La 0.3857 0.6754 0.4805
La 0.7699 0.7398 0.6011
La 0.4692 0.9765 0.3796
La 0.9765 0.4692 0.6204
La 0.5308 0.0235 0.8796
La 0.4496 0.9890 0.1045
La 0.1048 0.8448 0.5009
La 0.3246 0.6143 0.0195
La 0.0110 0.5504 0.3955
La 0.8326 0.1674 0.7500
La 0.2301 0.2602 0.1011
La 0.2602 0.2301 0.8989
La 0.9890 0.4496 0.8955
La 0.6754 0.3857 0.5195
La 0.1674 0.8326 0.2500
La 0.8448 0.1048 0.4991
La 0.0235 0.5308 0.1204
La 0.3721 0.6279 0.2500
La 0.8952 0.1552 0.0009
C 0.2817 0.7236 0.3498
C 0.9048 0.5913 0.5291
C 0.6559 0.8525 0.5241
C 0.5913 0.9048 0.4709
C 0.7183 0.2764 0.8498
C 0.7801 0.2238 0.9044
C 0.2199 0.7762 0.4044
C 0.2764 0.7183 0.1502
C 0.7236 0.2817 0.6502
C 0.3441 0.1475 0.0241
C 0.8525 0.6559 0.4759
C 0.1475 0.3441 0.9759
C 0.2238 0.7801 0.0956
C 0.0952 0.4087 0.0291
C 0.4087 0.0952 0.9709
C 0.7762 0.2199 0.5956
I 0.3613 0.0964 0.7420
I 0.8617 0.6321 0.9936
I 0.9036 0.6387 0.7580
I 0.5018 0.5221 0.8814
I 0.1464 0.3711 0.7548
I 0.3679 0.1383 0.5064
I 0.4779 0.4982 0.6186
I 0.9854 0.9766 0.1343
I 0.4982 0.4779 0.3814
I 0.1383 0.3679 0.4936
I 0.7458 0.2597 0.3658
I 0.9766 0.9854 0.8657
I 0.0234 0.0146 0.3657
I 0.2597 0.7458 0.6342
I 0.7403 0.2542 0.1342
I 0.2542 0.7403 0.8658
I 0.6321 0.8617 0.0064
I 0.0964 0.3613 0.2580
I 0.0146 0.0234 0.6343
I 0.3711 0.1464 0.2452
I 0.6387 0.9036 0.2420
I 0.6289 0.8536 0.7452
I 0.5221 0.5018 0.1186
I 0.8536 0.6289 0.2548

Copy entry 7 word for word.
DFT (meta-GGA SCAN) results for YAg2Sb at its PBEsol-relaxed geometry.

Calculated density in g cm⁻³: 8.32
DFT total energy in eV per atom: -32.371
Total magnetic moment in μB per formula unit: 0.000
ΔE_f (raw) in eV/atom: -0.41

abc: 4.3266 4.3266 5.4787
angles: 113.26 113.26 90.00
Fractional positions:
Ag 0.7500 0.2500 0.5000
Ag 0.2500 0.7500 0.5000
Sb 0.5000 0.5000 0.0000
Y 0.0000 0.0000 0.0000

> The highest DFT total energy belongs to which entry?

CaTiCr3

Copy entry 3 word for word.
DFT (meta-GGA SCAN) results for CaTiCr3 at its PBEsol-relaxed geometry.

Calculated density in g cm⁻³: 4.18
DFT formation energy in eV per atom: 1.798
DFT total energy in eV per atom: -14.372
Total magnetic moment in μB per formula unit: 9.942

abc: 4.5916 4.5916 4.5916
angles: 90.00 90.00 90.00
Last column: magnetic moment on the atom in μB.
Fractional positions:
Cr 0.0000 0.5000 0.0000  3.61
Cr 0.0000 0.0000 0.5000  3.61
Cr 0.5000 0.0000 0.0000  3.61
Ca 0.0000 0.0000 0.0000  0.32
Ti 0.5000 0.5000 0.5000  -1.42